1.
VASP calculation (PBE-GGA) on crystalline Pu3HgPd3 at its relaxed geometry.

Values from the calculation:
symmetry	Cmcm (63)
energy of formation	-0.6	eV/f.u.
energy above the lowest structure with this stoichiometry	284	meV/atom

Lattice parameters (Å, degrees): 8.465 8.465 4.031 90.00 90.00 108.49
Positions (direct):
Pu: 0.075 0.483 0.750
Pu: 0.218 0.782 0.750
Pu: 0.483 0.075 0.250
Pu: 0.517 0.925 0.750
Pu: 0.782 0.218 0.250
Pu: 0.925 0.517 0.250
Hg: 0.412 0.588 0.250
Hg: 0.588 0.412 0.750
Pd: 0.073 0.927 0.250
Pd: 0.144 0.279 0.250
Pd: 0.279 0.144 0.750
Pd: 0.721 0.856 0.250
Pd: 0.856 0.721 0.750
Pd: 0.927 0.073 0.750



2.
VASP calculation (PBE-GGA) on crystalline CoIr6Rh5 at its relaxed geometry.

Values from the calculation:
symmetry	Immm (71)
energy of formation	0.2	eV/f.u.

Lattice parameters (Å, degrees): 7.178 7.178 7.178 149.02 115.37 73.39
Positions (direct):
Co: 0.000 0.000 0.000
Ir: 0.082 0.835 0.248
Ir: 0.246 0.500 0.746
Ir: 0.413 0.165 0.248
Ir: 0.587 0.835 0.752
Ir: 0.754 0.500 0.254
Ir: 0.918 0.165 0.752
Rh: 0.165 0.665 0.500
Rh: 0.333 0.333 0.000
Rh: 0.500 0.000 0.500
Rh: 0.667 0.667 0.000
Rh: 0.835 0.335 0.500



3.
VASP calculation (PBE-GGA) on crystalline CsK2LiAu at its relaxed geometry.

Values from the calculation:
symmetry	P4/mmm (123)
energy of formation	0.0	eV/f.u.
energy above the lowest structure with this stoichiometry	69	meV/atom

Lattice parameters (Å, degrees): 6.708 6.708 5.176 90.00 90.00 90.00
Positions (direct):
Cs: 0.000 0.000 0.000
K: 0.000 0.500 0.500
K: 0.500 0.000 0.500
Li: 0.500 0.500 0.500
Au: 0.500 0.500 0.000



4.
VASP calculation (PBE-GGA) on crystalline InNi2W at its relaxed geometry.

Values from the calculation:
symmetry	Imm2 (44)
energy of formation	1.0	eV/f.u.

Lattice parameters (Å, degrees): 2.774 4.514 9.283 90.00 90.00 90.00
Positions (direct):
In: 0.000 0.000 0.000
In: 0.500 0.500 0.500
Ni: 0.000 0.000 0.481
Ni: 0.000 0.500 0.754
Ni: 0.500 0.000 0.254
Ni: 0.500 0.500 0.981
W: 0.000 0.500 0.221
W: 0.500 0.000 0.721



5.
VASP calculation (PBE-GGA) on crystalline GaAsPbSe2 at its relaxed geometry.

Values from the calculation:
symmetry	P4/mmm (123)
energy above the lowest structure with this stoichiometry	469	meV/atom

Lattice parameters (Å, degrees): 5.667 5.667 5.584 90.00 90.00 90.00
Positions (direct):
Ga: 0.000 0.000 0.000
As: 0.500 0.500 0.000
Pb: 0.500 0.500 0.500
Se: 0.000 0.500 0.500
Se: 0.500 0.000 0.500



6.
VASP calculation (PBE-GGA) on crystalline La3Cu at its relaxed geometry.

Values from the calculation:
symmetry	Cmmm (65)
energy of formation	0.4	eV/f.u.

Lattice parameters (Å, degrees): 7.853 8.184 3.651 90.00 90.00 90.00
Positions (direct):
La: 0.000 0.000 0.000
La: 0.250 0.250 0.500
La: 0.250 0.750 0.500
La: 0.500 0.500 0.000
La: 0.750 0.250 0.500
La: 0.750 0.750 0.500
Cu: 0.000 0.500 0.000
Cu: 0.500 0.000 0.000



7.
VASP calculation (PBE-GGA) on crystalline CaSn2O4 at its relaxed geometry.

Values from the calculation:
symmetry	Imma (74)
energy above the lowest structure with this stoichiometry	0	meV/atom

Lattice parameters (Å, degrees): 6.782 6.782 6.782 124.17 112.35 93.33
Positions (direct):
Ca: 0.000 0.000 0.000
Ca: 0.500 0.000 0.500
Sn: 0.000 0.000 0.500
Sn: 0.000 0.500 0.000
Sn: 0.377 0.627 0.750
Sn: 0.623 0.373 0.250
O: 0.182 0.247 0.935
O: 0.188 0.753 0.435
O: 0.230 0.223 0.493
O: 0.230 0.737 0.007
O: 0.770 0.263 0.993
O: 0.770 0.777 0.507
O: 0.812 0.247 0.565
O: 0.818 0.753 0.065



8.
VASP calculation (PBE-GGA) on crystalline DyEr2F8 at its relaxed geometry.

Values from the calculation:
symmetry	C2/m (12)
energy	-6.41	eV/atom

Lattice parameters (Å, degrees): 6.154 6.154 4.276 100.97 100.97 111.58
Positions (direct):
Dy: 0.000 0.000 0.000
Er: 0.318 0.682 0.500
Er: 0.682 0.318 0.500
F: 0.058 0.314 0.527
F: 0.247 0.753 0.000
F: 0.314 0.058 0.527
F: 0.372 0.372 0.190
F: 0.628 0.628 0.810
F: 0.686 0.942 0.473
F: 0.753 0.247 0.000
F: 0.942 0.686 0.473